Sm3Dy2Tm2: relaxed, PBE.

Values from the calculation:
Formation energy from the elements   0.809 eV per formula unit
Excess energy over the best structure of this formula in the dataset   98 meV per atom

a b c (Å): 17.4461 3.5004 8.5002
angles (deg): 90.00 118.91 90.00
Last column: nearest neighbours and their distance in Å.
Space group C2/m (No. 12)
Inequivalent atoms, fractional coordinates:
Sm  0.0000  0.0000  0.0000 [2 per cell]  4 Sm 3.33-3.50, 2 Tm 3.51, 4 Dy 3.57
Sm  0.2125  0.0000  0.2984 [4 per cell]  5 Sm 3.33-3.50, 3 Dy 3.45-3.60, 3 Tm 3.58-3.60
Dy  0.0649  0.5000  0.4107 [4 per cell]  3 Dy 3.28-3.50, 5 Sm 3.45-3.60, 4 Tm 3.56-3.67
Tm  0.1456  0.0000  0.8253 [4 per cell]  4 Tm 3.50-3.83, 4 Sm 3.51-3.60, 4 Dy 3.56-3.67

Sm6Dy6Tm: relaxed, PBE.

Values from the calculation:
Formation energy from the elements   3.783 eV per formula unit

a b c (Å): 6.7064 6.7064 11.3550
angles (deg): 90.00 90.00 120.00
Last column: nearest neighbours and their distance in Å.
Space group P6/mmm (No. 191)
Inequivalent atoms, fractional coordinates:
Sm  0.0000  0.0000  0.1566 [2 per cell]  6 Dy 3.53, 1 Sm 3.56, 1 Tm 3.90
Sm  0.3333  0.6667  0.0000 [2 per cell]  6 Dy 3.48, 3 Sm 3.87
Sm  0.3333  0.6667  0.5000 [2 per cell]  6 Dy 3.40
Dy  0.0000  0.5000  0.2543 [6 per cell]  4 Dy 3.35, 6 Sm 3.40-3.53
Tm  0.0000  0.0000  0.5000 [1 per cell]  8 Sm 3.87-3.90

Sm3Dy2Tm5: relaxed, PBE.

Values from the calculation:
Formation energy from the elements   1.973 eV per formula unit

a b c (Å): 10.5929 15.7676 9.3703
angles (deg): 90.00 124.35 90.00
Last column: nearest neighbours and their distance in Å.
Space group C2/c (No. 15)
Inequivalent atoms, fractional coordinates:
Sm  0.0000  0.2337  0.2500 [4 per cell]  3 Tm 3.27-3.59, 4 Dy 3.28-3.56, 2 Sm 3.52
Sm  0.1468  0.1232  0.0470 [8 per cell]  1 Dy 3.13, 5 Tm 3.27-3.46
Dy  0.1504  0.3816  0.5482 [8 per cell]  2 Sm 3.13-3.28, 4 Tm 3.26-3.47
Tm  0.0000  0.0265  0.2500 [4 per cell]  5 Sm 3.27-3.42, 2 Dy 3.39, 2 Tm 3.44
Tm  0.0000  0.2712  0.7500 [4 per cell]  1 Tm 3.17, 4 Sm 3.27-3.52, 2 Dy 3.54
Tm  0.0000  0.4721  0.7500 [4 per cell]  3 Tm 3.17-3.46, 4 Dy 3.26-3.40, 2 Sm 3.44
Tm  0.2446  0.3874  0.2387 [8 per cell]  3 Tm 3.44-3.64, 3 Sm 3.46-3.59, 2 Dy 3.47-3.56

SmDy6Tm3: relaxed, PBE.

Values from the calculation:
Formation energy from the elements   1.257 eV per formula unit
Excess energy over the best structure of this formula in the dataset   0 meV per atom

a b c (Å): 9.5913 20.8142 6.3432
angles (deg): 90.00 90.00 90.00
Last column: nearest neighbours and their distance in Å.
Space group Cmc2_1 (No. 36)
Inequivalent atoms, fractional coordinates:
Sm  0.0000  0.1616  0.0000 [4 per cell]  6 Dy 3.23-3.62, 2 Tm 3.51
Dy  0.0000  0.0154  0.8025 [4 per cell]  4 Dy 3.24-3.60, 1 Sm 3.29, 4 Tm 3.50-3.54
Dy  0.0000  0.3013  0.7769 [4 per cell]  1 Tm 3.13, 1 Sm 3.23, 2 Dy 3.39
Dy  0.1760  0.2810  0.3180 [8 per cell]  3 Tm 3.26-3.63, 3 Dy 3.38-3.56, 2 Sm 3.52-3.62
Dy  0.1800  0.4410  0.5619 [8 per cell]  3 Tm 3.31-3.51, 4 Dy 3.45-3.67
Tm  0.0000  0.4183  0.0864 [4 per cell]  3 Dy 3.13-3.40, 2 Tm 3.37
Tm  0.1695  0.1260  0.4765 [8 per cell]  2 Tm 3.25-3.37, 5 Dy 3.26-3.54, 1 Sm 3.51

SmDy12Tm2: relaxed, PBE.

Values from the calculation:
Formation energy from the elements   1.715 eV per formula unit

a b c (Å): 7.0807 11.0827 24.4208
angles (deg): 90.00 94.18 90.00
Last column: nearest neighbours and their distance in Å.
Space group C2/m (No. 12)
Inequivalent atoms, fractional coordinates:
Sm  0.2485  0.0000  0.4948 [4 per cell]  6 Dy 3.33-3.70, 2 Sm 3.55
Dy  0.0184  0.2502  0.5745 [8 per cell]  9 Dy 3.54-3.69, 4 Sm 3.70-3.82
Dy  0.1098  0.2396  0.9449 [8 per cell]  10 Dy 3.21-3.55
Dy  0.1495  0.5000  0.0916 [4 per cell]  7 Dy 3.31-3.52
Dy  0.1640  0.0000  0.0650 [4 per cell]  7 Dy 3.29-3.65
Dy  0.1690  0.2337  0.1704 [8 per cell]  3 Dy 3.13-3.33, 2 Tm 3.50
Dy  0.1995  0.2612  0.2982 [8 per cell]  3 Dy 3.13-3.22
Dy  0.2136  0.0000  0.3563 [4 per cell]  4 Dy 3.22-3.56, 1 Sm 3.37, 2 Tm 3.58
Dy  0.2172  0.5000  0.3687 [4 per cell]  2 Dy 3.15, 1 Sm 3.33
Tm  0.0565  0.5000  0.7693 [4 per cell]  2 Tm 3.39-3.69, 9 Dy 3.50-3.79
Tm  0.0777  0.0000  0.7699 [4 per cell]  2 Tm 3.39-3.69, 9 Dy 3.50-3.78

SmDy3Tm12: relaxed, PBE.

Values from the calculation:
Formation energy from the elements   0.397 eV per formula unit

a b c (Å): 4.9559 4.9559 19.8369
angles (deg): 90.00 90.00 90.00
Last column: nearest neighbours and their distance in Å.
Space group P4/mmm (No. 123)
Inequivalent atoms, fractional coordinates:
Sm  0.0000  0.0000  0.0000 [1 per cell]  12 Tm 3.50-3.52
Dy  0.0000  0.0000  0.2506 [2 per cell]  12 Tm 3.50
Dy  0.0000  0.0000  0.5000 [1 per cell]  12 Tm 3.50
Tm  0.0000  0.5000  0.1261 [4 per cell]  2 Dy 3.50, 8 Tm 3.50-3.52, 2 Sm 3.52
Tm  0.0000  0.5000  0.3754 [4 per cell]  8 Tm 3.50, 4 Dy 3.50
Tm  0.5000  0.5000  0.0000 [1 per cell]  4 Sm 3.50, 8 Tm 3.52
Tm  0.5000  0.5000  0.2509 [2 per cell]  8 Tm 3.50, 4 Dy 3.50
Tm  0.5000  0.5000  0.5000 [1 per cell]  8 Tm 3.50, 4 Dy 3.50

Repeat the second record exactly.
Sm6Dy6Tm: relaxed, PBE.

Values from the calculation:
Formation energy from the elements   3.783 eV per formula unit

a b c (Å): 6.7064 6.7064 11.3550
angles (deg): 90.00 90.00 120.00
Last column: nearest neighbours and their distance in Å.
Space group P6/mmm (No. 191)
Inequivalent atoms, fractional coordinates:
Sm  0.0000  0.0000  0.1566 [2 per cell]  6 Dy 3.53, 1 Sm 3.56, 1 Tm 3.90
Sm  0.3333  0.6667  0.0000 [2 per cell]  6 Dy 3.48, 3 Sm 3.87
Sm  0.3333  0.6667  0.5000 [2 per cell]  6 Dy 3.40
Dy  0.0000  0.5000  0.2543 [6 per cell]  4 Dy 3.35, 6 Sm 3.40-3.53
Tm  0.0000  0.0000  0.5000 [1 per cell]  8 Sm 3.87-3.90

> The lowest formation energy from the elements belongs to which entry?

SmDy3Tm12

> formation energy from the elements of number 2 (Sm6Dy6Tm)?

3.783 eV per formula unit